# 1
{
  "formula": "Li2CuSbH",
  "functional": "PBE",
  "state": "relaxed",
  "m_tot_mub_per_atom": 0.0000,
  "rho_g_cm3": 5.05,
  "energy_ev_per_atom": -3.35,
  "cell": [[4.122, 0.000, 0.000], [0.000, 4.122, 0.000], [0.000, 0.000, 3.870]],
  "species": ["Li", "Li", "Cu", "Sb", "H"],
  "frac_coords": [[0.000, 0.500, 0.000], [0.500, 0.000, 0.000], [0.000, 0.000, 0.500], [0.500, 0.500, 0.500], [0.000, 0.000, 0.000]]
}


# 2
{
  "formula": "Ca2GeRh",
  "functional": "PBE",
  "state": "relaxed",
  "m_tot_mub_per_atom": 0.0000,
  "rho_g_cm3": 3.72,
  "delta_e_f_ev_per_atom": -0.56,
  "cell": [[2.142, 1.237, 7.182], [-2.142, 1.237, 7.182], [0.000, -2.473, 7.182]],
  "species": ["Ca", "Ca", "Ge", "Rh"],
  "frac_coords": [[0.000, 0.000, 0.000], [0.171, 0.171, 0.171], [0.753, 0.753, 0.753], [0.418, 0.418, 0.418]]
}


# 3
{
  "formula": "Rb2OsRhAu",
  "functional": "PBE",
  "state": "relaxed",
  "m_tot_mub_per_atom": 0.9046,
  "rho_g_cm3": 5.39,
  "delta_e_f_ev_per_atom": 1.71,
  "cell": [[6.341, 0.000, 0.000], [0.000, 6.341, 0.000], [0.000, 0.000, 5.062]],
  "species": ["Rb", "Rb", "Os", "Rh", "Au"],
  "frac_coords": [[0.000, 0.500, 0.000], [0.500, 0.000, 0.000], [0.000, 0.000, 0.500], [0.500, 0.500, 0.500], [0.500, 0.500, 0.000]]
}


# 4
{
  "formula": "InCuSe2",
  "functional": "PBE",
  "state": "relaxed",
  "m_tot_mub_per_atom": 0.0000,
  "rho_g_cm3": 6.23,
  "formation_energy_uncorrected_mev_per_atom": -252,
  "cell": [[3.695, 0.000, 0.000], [0.000, 3.695, 0.000], [0.000, 0.000, 6.562]],
  "species": ["In", "Cu", "Se", "Se"],
  "frac_coords": [[0.000, 0.000, 0.000], [0.500, 0.500, 0.538], [0.000, 0.000, 0.598], [0.500, 0.500, 0.152]]
}


# 5
{
  "formula": "MnCoSb",
  "functional": "PBE",
  "state": "relaxed",
  "m_tot_mub_per_atom": 1.3561,
  "rho_g_cm3": 8.37,
  "formation_energy_uncorrected_mev_per_atom": 279,
  "cell": [[2.443, -3.618, 0.000], [2.443, 3.618, 0.000], [0.000, 0.000, 5.287]],
  "species": ["Mn", "Mn", "Co", "Co", "Sb", "Sb"],
  "frac_coords": [[0.158, 0.842, 0.750], [0.842, 0.158, 0.250], [0.500, 0.500, 0.000], [0.500, 0.500, 0.500], [0.194, 0.806, 0.250], [0.806, 0.194, 0.750]]
}


# 6
{
  "formula": "SrCuTc2",
  "functional": "PBE",
  "state": "relaxed",
  "e_above_lowest_polymorph_mev_per_atom": 365,
  "m_tot_mub_per_atom": 0.0000,
  "rho_g_cm3": 8.03,
  "delta_e_f_ev_per_atom": 0.66,
  "cell": [[5.498, -1.411, 0.000], [5.498, 1.411, 0.000], [-1.482, 0.000, 4.626]],
  "species": ["Sr", "Cu", "Tc", "Tc"],
  "frac_coords": [[0.000, 0.000, 0.000], [0.500, 0.500, 0.500], [0.217, 0.217, 0.691], [0.783, 0.783, 0.309]]
}


# 7
{
  "formula": "Rb4H6Ir",
  "functional": "PBE",
  "state": "relaxed",
  "m_tot_mub_per_atom": 0.0000,
  "rho_g_cm3": 3.40,
  "energy_ev_per_atom": -3.26,
  "cell": [[5.645, 3.259, 4.775], [-5.645, 3.259, 4.775], [0.000, -6.519, 4.775]],
  "species": ["Rb", "Rb", "Rb", "Rb", "Rb", "Rb", "Rb", "Rb", "H", "H", "H", "H", "H", "H", "H", "H", "H", "H", "H", "H", "Ir", "Ir"],
  "frac_coords": [[0.173, 0.750, 0.327], [0.250, 0.250, 0.250], [0.250, 0.673, 0.827], [0.327, 0.173, 0.750], [0.673, 0.827, 0.250], [0.750, 0.327, 0.173], [0.750, 0.750, 0.750], [0.827, 0.250, 0.673], [0.033, 0.966, 0.794], [0.034, 0.206, 0.967], [0.206, 0.967, 0.034], [0.294, 0.466, 0.533], [0.466, 0.533, 0.294], [0.467, 0.706, 0.534], [0.533, 0.294, 0.466], [0.534, 0.467, 0.706], [0.706, 0.534, 0.467], [0.794, 0.033, 0.966], [0.966, 0.794, 0.033], [0.967, 0.034, 0.206], [0.000, 0.000, 0.000], [0.500, 0.500, 0.500]]
}


# 8
{
  "formula": "ZrBi2ClF",
  "functional": "PBE",
  "state": "relaxed",
  "m_tot_mub_per_atom": 0.0001,
  "rho_g_cm3": 7.91,
  "formation_energy_uncorrected_mev_per_atom": -393,
  "cell": [[4.761, 0.000, 0.000], [0.000, 4.761, 0.000], [0.000, 0.000, 5.220]],
  "species": ["Zr", "Bi", "Bi", "Cl", "F"],
  "frac_coords": [[0.000, 0.000, 0.000], [0.000, 0.500, 0.500], [0.500, 0.000, 0.500], [0.500, 0.500, 0.000], [0.500, 0.500, 0.500]]
}


# 9
{
  "formula": "Nd6Y2Cd",
  "functional": "PBE",
  "state": "relaxed",
  "e_above_lowest_polymorph_mev_per_atom": 0,
  "m_tot_mub_per_atom": 0.0000,
  "rho_g_cm3": 6.46,
  "delta_e_f_ev_per_atom": -0.04,
  "cell": [[6.230, 0.000, 0.000], [1.083, 8.879, 0.000], [0.033, 2.258, 10.735]],
  "species": ["Nd", "Nd", "Nd", "Nd", "Nd", "Nd", "Nd", "Nd", "Nd", "Nd", "Nd", "Nd", "Y", "Y", "Y", "Y", "Cd", "Cd"],
  "frac_coords": [[0.141, 0.167, 0.311], [0.143, 0.164, 0.635], [0.250, 0.482, 0.082], [0.260, 0.484, 0.753], [0.324, 0.840, 0.868], [0.329, 0.848, 0.178], [0.671, 0.152, 0.822], [0.676, 0.160, 0.132], [0.740, 0.516, 0.247], [0.750, 0.518, 0.918], [0.857, 0.836, 0.365], [0.859, 0.833, 0.689], [0.246, 0.502, 0.417], [0.363, 0.829, 0.527], [0.637, 0.171, 0.473], [0.754, 0.498, 0.583], [0.153, 0.173, 0.969], [0.847, 0.827, 0.031]]
}


# 10
{
  "formula": "Zr3Cd2Hg2",
  "functional": "PBE",
  "state": "relaxed",
  "m_tot_mub_per_atom": 0.0001,
  "rho_g_cm3": 9.89,
  "delta_e_f_ev_per_atom": -0.10,
  "cell": [[2.302, -10.719, 0.000], [2.302, 10.719, 0.000], [0.000, 0.000, 3.063]],
  "species": ["Zr", "Zr", "Zr", "Cd", "Cd", "Hg", "Hg"],
  "frac_coords": [[0.000, 0.000, 0.000], [0.146, 0.854, 0.000], [0.854, 0.146, 0.000], [0.285, 0.715, 0.500], [0.715, 0.285, 0.500], [0.426, 0.574, 0.500], [0.574, 0.426, 0.500]]
}


# 11
{
  "formula": "MgAlCdAu",
  "functional": "PBE",
  "state": "relaxed",
  "m_tot_mub_per_atom": 0.0000,
  "rho_g_cm3": 8.09,
  "delta_e_f_ev_per_atom": -0.18,
  "cell": [[0.000, 3.332, 3.332], [3.332, 0.000, 3.332], [3.332, 3.332, 0.000]],
  "species": ["Mg", "Al", "Cd", "Au"],
  "frac_coords": [[0.000, 0.000, 0.000], [0.500, 0.500, 0.500], [0.750, 0.750, 0.750], [0.250, 0.250, 0.250]]
}


# 12
{
  "formula": "K3P4Au",
  "functional": "PBE",
  "state": "relaxed",
  "m_tot_mub_per_atom": 0.0000,
  "rho_g_cm3": 3.00,
  "delta_e_f_ev_per_atom": -0.12,
  "cell": [[6.291, 0.000, 0.000], [0.000, 10.451, 0.000], [0.000, 0.000, 7.367]],
  "species": ["K", "K", "K", "K", "K", "K", "P", "P", "P", "P", "P", "P", "P", "P", "Au", "Au"],
  "frac_coords": [[0.250, 0.052, 0.141], [0.250, 0.250, 0.590], [0.250, 0.448, 0.141], [0.750, 0.552, 0.859], [0.750, 0.750, 0.410], [0.750, 0.948, 0.859], [0.081, 0.750, 0.088], [0.250, 0.650, 0.471], [0.250, 0.850, 0.471], [0.419, 0.750, 0.088], [0.581, 0.250, 0.912], [0.750, 0.150, 0.529], [0.750, 0.350, 0.529], [0.919, 0.250, 0.912], [0.250, 0.750, 0.780], [0.750, 0.250, 0.220]]
}